Compound: Rh2SeS2
Source: Alexandria
Functional: GGA-PBE
Structure: relaxed

uncorrected formation energy	-246.0	meV per atom
DFT total energy	-5.53	eV/atom
Fermi-level density of states	2.099	states/eV/f.u.
M_tot	0.00	Bohr magnetons per cell

Cell: 11.243 4.730 7.485 Å, 90.00 108.51 90.00°
Space group C2/m (No. 12)
Symmetry-distinct sites (fractional):
1 Rh 0.013 0.000 0.266 [4 per cell]
2 Rh 0.168 0.500 0.096 [4 per cell]
3 Se 0.156 0.000 0.594 [4 per cell]
4 S 0.005 0.500 0.799 [4 per cell]
5 S 0.152 0.000 0.025 [4 per cell]